DFT (PBE-GGA) results for a relaxed Na2AgRhO4 crystal.

Structure (POSCAR):
```
Na2AgRhO4
1.0
-3.006 -0.920 -0.114
0.903 -3.576 5.020
-1.712 5.496 0.804
O Na Rh Ag
4 2 1 1
direct
0.000 0.694 0.237
0.000 0.306 0.763
0.500 0.273 0.158
0.500 0.727 0.842
0.500 0.000 0.500
0.000 0.500 0.500
0.500 0.500 0.000
0.000 0.000 0.000
```

- calculated volume (Å³/atom) = 12.534
- space-group type = P2/m (10)
- Fermi-level density of states (states/eV/f.u.) = 3.9

***

DFT (PBE-GGA) results for a relaxed Na3Ag2RhO6 crystal.

Structure (POSCAR):
```
Na3Ag2RhO6
1.0
5.640 0.190 -0.110
-2.654 4.980 -0.110
-1.102 -1.908 5.385
O Ag Na Rh
6 2 3 1
direct
0.766 0.766 0.173
0.053 0.358 0.231
0.642 0.947 0.769
0.358 0.053 0.231
0.947 0.642 0.769
0.234 0.234 0.827
0.672 0.328 0.000
0.328 0.672 0.000
0.829 0.171 0.500
0.500 0.500 0.500
0.171 0.829 0.500
0.000 0.000 0.000
```

- calculated volume (Å³/atom) = 12.637
- space-group type = C2/m (12)
- Fermi-level density of states (states/eV/f.u.) = 9.3

***

DFT (PBE-GGA) results for a relaxed NaAgSO2 crystal.

Structure (POSCAR):
```
NaAgSO2
1.0
4.166 0.000 0.000
0.000 4.955 0.000
0.000 0.000 4.166
O S Ag Na
2 1 1 1
direct
0.500 0.000 0.000
0.000 0.000 0.500
0.000 0.500 0.000
0.000 0.000 0.000
0.500 0.500 0.500
```

- calculated volume (Å³/atom) = 17.204
- space-group type = P4/mmm (123)
- Fermi-level density of states (states/eV/f.u.) = 6.2

***

DFT (PBE-GGA) results for a relaxed NaAg2SO4 crystal.

Structure (POSCAR):
```
NaAg2SO4
1.0
5.663 -0.314 -0.481
-2.697 4.990 0.481
-2.697 -1.567 4.761
O Na Ag S
4 1 2 1
direct
0.688 0.433 0.464
0.031 0.255 0.567
0.312 0.776 0.745
0.969 0.536 0.224
0.500 0.250 0.750
0.500 0.750 0.250
0.000 0.000 0.000
0.000 0.500 0.500
```

- calculated volume (Å³/atom) = 15.835
- space-group type = I-4 (82)
- Fermi-level density of states (states/eV/f.u.) = 1.4

***

DFT (PBE-GGA) results for a relaxed NaAg2SO crystal.

Structure (POSCAR):
```
NaAg2SO
1.0
-4.428 -0.121 2.442
-1.891 -0.245 -3.441
0.258 -5.046 0.217
Ag S O Na
2 1 1 1
direct
0.000 0.000 0.500
0.500 0.000 0.000
0.500 0.500 0.500
0.000 0.500 0.000
0.000 0.000 0.000
```

- calculated volume (Å³/atom) = 20.125
- space-group type = P4/mmm (123)
- Fermi-level density of states (states/eV/f.u.) = 3.0

***

DFT (PBE-GGA) results for a relaxed NaAgSO4 crystal.

Structure (POSCAR):
```
NaAgSO4
1.0
5.514 -0.012 0.000
-2.226 5.045 0.000
0.000 0.000 7.014
Ag O S Na
2 8 2 2
direct
0.500 0.500 0.500
0.500 0.500 0.000
0.149 0.255 0.750
0.241 0.759 0.076
0.759 0.241 0.924
0.759 0.241 0.576
0.241 0.759 0.424
0.745 0.851 0.750
0.851 0.745 0.250
0.255 0.149 0.250
0.150 0.850 0.250
0.850 0.150 0.750
0.180 0.820 0.750
0.820 0.180 0.250
```

- calculated volume (Å³/atom) = 13.924
- space-group type = Cmcm (63)
- Fermi-level density of states (states/eV/f.u.) = 0.0

***

DFT (PBE-GGA) results for a relaxed NaAgS2O6 crystal.

Structure (POSCAR):
```
NaAgS2O6
1.0
6.945 0.486 0.239
-0.368 6.952 0.239
-1.696 -1.918 5.938
O S Na Ag
12 4 2 2
direct
0.336 0.927 0.648
0.211 0.117 0.128
0.789 0.883 0.872
0.883 0.789 0.372
0.664 0.073 0.352
0.271 0.467 0.346
0.927 0.336 0.148
0.533 0.729 0.154
0.729 0.533 0.654
0.467 0.271 0.846
0.073 0.664 0.852
0.117 0.211 0.628
0.128 0.288 0.266
0.288 0.128 0.766
0.712 0.872 0.234
0.872 0.712 0.734
0.610 0.390 0.250
0.390 0.610 0.750
0.790 0.210 0.750
0.210 0.790 0.250
```

- calculated volume (Å³/atom) = 14.688
- space-group type = C2/c (15)
- Fermi-level density of states (states/eV/f.u.) = 1.2

***

DFT (PBE-GGA) results for a relaxed NaAgS2O3 crystal.

Structure (POSCAR):
```
NaAgS2O3
1.0
6.240 0.000 0.000
0.000 8.663 0.458
0.000 3.103 10.047
O S Na Ag
12 8 4 4
direct
0.993 0.686 0.808
0.028 0.614 0.126
0.972 0.386 0.874
0.472 0.114 0.126
0.812 0.984 0.107
0.188 0.016 0.893
0.007 0.314 0.192
0.507 0.186 0.808
0.493 0.814 0.192
0.688 0.484 0.107
0.312 0.516 0.893
0.528 0.886 0.874
0.681 0.960 0.380
0.819 0.460 0.380
0.106 0.535 0.820
0.394 0.035 0.820
0.319 0.040 0.620
0.894 0.465 0.180
0.606 0.965 0.180
0.181 0.540 0.620
0.114 0.155 0.059
0.886 0.845 0.941
0.386 0.655 0.059
0.614 0.345 0.941
0.085 0.272 0.521
0.915 0.728 0.479
0.585 0.228 0.479
0.415 0.772 0.521
```

- calculated volume (Å³/atom) = 19.080
- space-group type = P2_1/c (14)
- Fermi-level density of states (states/eV/f.u.) = 0.0

***

DFT (PBE-GGA) results for a relaxed Na2AgSO4 crystal.

Structure (POSCAR):
```
Na2AgSO4
1.0
5.486 0.363 0.555
-2.010 5.118 -0.555
-2.010 -2.568 4.462
Na Ag O S
2 1 4 1
direct
0.500 0.750 0.250
0.000 0.000 0.000
0.500 0.250 0.750
0.251 0.730 0.810
0.080 0.522 0.270
0.920 0.190 0.442
0.749 0.558 0.478
0.000 0.500 0.500
```

- calculated volume (Å³/atom) = 16.209
- space-group type = I-4 (82)
- Fermi-level density of states (states/eV/f.u.) = 2.4

***

DFT (PBE-GGA) results for a relaxed Na5AgSO2 crystal.

Structure (POSCAR):
```
Na5AgSO2
1.0
4.562 0.000 0.000
0.000 4.562 0.000
0.000 0.000 8.701
Na O S Ag
5 2 1 1
direct
0.500 0.000 0.727
0.000 0.500 0.273
0.000 0.500 0.727
0.500 0.000 0.273
0.000 0.000 0.500
0.000 0.000 0.236
0.000 0.000 0.764
0.500 0.500 0.500
0.000 0.000 0.000
```

- calculated volume (Å³/atom) = 20.121
- space-group type = P4/mmm (123)
- Fermi-level density of states (states/eV/f.u.) = 0.0

***

DFT (PBE-GGA) results for a relaxed NaAgSe2O6 crystal.

Structure (POSCAR):
```
NaAgSe2O6
1.0
-6.689 -2.699 0.846
0.236 -1.129 7.171
-0.227 6.852 -1.452
O Ag Se Na
12 2 4 2
direct
0.356 0.899 0.609
0.547 0.710 0.165
0.899 0.356 0.109
0.895 0.810 0.511
0.101 0.644 0.891
0.644 0.101 0.391
0.453 0.290 0.835
0.290 0.453 0.335
0.190 0.105 0.989
0.105 0.190 0.489
0.810 0.895 0.011
0.710 0.547 0.665
0.748 0.252 0.750
0.252 0.748 0.250
0.871 0.736 0.792
0.736 0.871 0.292
0.264 0.129 0.708
0.129 0.264 0.208
0.381 0.619 0.750
0.619 0.381 0.250
```

- calculated volume (Å³/atom) = 16.116
- space-group type = C2/c (15)
- Fermi-level density of states (states/eV/f.u.) = 2.0

***

DFT (PBE-GGA) results for a relaxed Na5AgSeO2 crystal.

Structure (POSCAR):
```
Na5AgSeO2
1.0
4.624 0.000 0.000
0.000 4.624 0.000
0.000 0.000 8.777
Na Se Ag O
5 1 1 2
direct
0.000 0.000 0.500
0.000 0.500 0.733
0.000 0.500 0.267
0.500 0.000 0.733
0.500 0.000 0.267
0.500 0.500 0.500
0.000 0.000 0.000
0.000 0.000 0.234
0.000 0.000 0.766
```

- calculated volume (Å³/atom) = 20.854
- space-group type = P4/mmm (123)
- Fermi-level density of states (states/eV/f.u.) = 0.0

***

DFT (PBE-GGA) results for a relaxed Na2SiAgO4 crystal.

Structure (POSCAR):
```
Na2SiAgO4
1.0
5.195 0.039 0.000
-1.790 4.877 0.000
-1.702 -2.458 4.248
O Ag Si Na
4 1 1 2
direct
0.016 0.324 0.000
0.676 0.676 0.692
0.324 0.016 0.000
0.984 0.984 0.308
0.500 0.500 0.000
0.000 0.000 0.000
0.750 0.250 0.500
0.250 0.750 0.500
```

- calculated volume (Å³/atom) = 13.490
- space-group type = I-42m (121)
- Fermi-level density of states (states/eV/f.u.) = 3.1

***

DFT (PBE-GGA) results for a relaxed Na2SmAgO4 crystal.

Structure (POSCAR):
```
Na2SmAgO4
1.0
-0.644 -3.805 -3.648
3.832 -1.209 3.472
-4.350 0.653 2.975
Na Ag O Sm
2 1 4 1
direct
0.000 0.000 0.000
0.500 0.750 0.250
0.000 0.500 0.500
0.910 0.676 0.203
0.090 0.292 0.765
0.473 0.797 0.708
0.527 0.235 0.324
0.500 0.250 0.750
```

- calculated volume (Å³/atom) = 14.329
- space-group type = I-4 (82)

***

DFT (PBE-GGA) results for a relaxed Na2AgSnO4 crystal.

Structure (POSCAR):
```
Na2AgSnO4
1.0
-2.626 0.907 -1.525
2.591 -1.591 -5.407
-3.134 -4.306 2.835
O Na Ag Sn
4 2 1 1
direct
0.500 0.729 0.821
0.000 0.299 0.760
0.000 0.701 0.240
0.500 0.271 0.179
0.000 0.500 0.500
0.500 0.000 0.500
0.000 0.000 0.000
0.500 0.500 0.000
```

- calculated volume (Å³/atom) = 13.288
- space-group type = P2/m (10)
- Fermi-level density of states (states/eV/f.u.) = 0.5

***

DFT (PBE-GGA) results for a relaxed NaSrAg2O4 crystal.

Structure (POSCAR):
```
NaSrAg2O4
1.0
-3.095 0.101 -4.931
-4.862 -2.228 -0.432
-3.964 3.508 -0.878
O Sr Na Ag
4 1 1 2
direct
0.482 0.070 0.518
0.070 0.930 0.482
0.518 0.482 0.930
0.930 0.518 0.070
0.000 0.000 0.000
0.500 0.500 0.500
0.250 0.250 0.250
0.750 0.750 0.750
```

- calculated volume (Å³/atom) = 14.580
- space-group type = I-42m (121)
- Fermi-level density of states (states/eV/f.u.) = 1.7

***

DFT (PBE-GGA) results for a relaxed NaSr2AgO crystal.

Structure (POSCAR):
```
NaSr2AgO
1.0
-0.538 -0.044 -5.101
2.213 -4.623 -0.193
-4.328 -2.091 0.474
O Ag Na Sr
1 1 1 2
direct
0.000 0.000 0.000
0.500 0.500 0.500
0.000 0.000 0.500
0.000 0.500 0.000
0.500 0.000 0.000
```

- calculated volume (Å³/atom) = 25.414
- space-group type = P4/mmm (123)
- Fermi-level density of states (states/eV/f.u.) = 2.1

***

DFT (PBE-GGA) results for a relaxed Na2SrAgO4 crystal.

Structure (POSCAR):
```
Na2SrAgO4
1.0
6.644 0.189 -0.074
0.185 6.644 -0.074
-3.427 -3.430 5.615
Na O Ag Sr
4 8 2 2
direct
0.500 0.000 0.500
0.500 0.500 0.000
0.000 0.000 0.500
0.500 0.000 0.000
0.348 0.338 0.593
0.261 0.709 0.466
0.162 0.152 0.907
0.791 0.239 0.034
0.838 0.848 0.093
0.739 0.291 0.534
0.652 0.662 0.407
0.209 0.761 0.966
0.000 0.000 0.000
0.500 0.500 0.500
0.000 0.500 0.000
0.000 0.500 0.500
```

- calculated volume (Å³/atom) = 15.277
- space-group type = C2/c (15)
- Fermi-level density of states (states/eV/f.u.) = 7.0

***

DFT (PBE-GGA) results for a relaxed NaSr2AgO4 crystal.

Structure (POSCAR):
```
NaSr2AgO4
1.0
-5.345 1.053 0.772
1.837 -3.901 3.417
3.133 4.392 1.078
Sr O Ag Na
2 4 1 1
direct
0.000 0.000 0.000
0.500 0.750 0.250
0.943 0.691 0.230
0.538 0.252 0.309
0.462 0.770 0.714
0.057 0.286 0.748
0.000 0.500 0.500
0.500 0.250 0.750
```

- calculated volume (Å³/atom) = 15.945
- space-group type = I-4 (82)

***

DFT (PBE-GGA) results for a relaxed Na2SrAgO crystal.

Structure (POSCAR):
```
Na2SrAgO
1.0
-3.463 -1.468 3.070
3.307 -0.421 3.530
-0.813 4.676 1.320
O Na Sr Ag
1 2 1 1
direct
0.000 0.000 0.000
0.000 0.500 0.000
0.500 0.000 0.000
0.000 0.000 0.500
0.500 0.500 0.500
```

- calculated volume (Å³/atom) = 23.224
- space-group type = P4/mmm (123)
- Fermi-level density of states (states/eV/f.u.) = 2.4

***

DFT (PBE-GGA) results for a relaxed NaSrAg2O crystal.

Structure (POSCAR):
```
NaSrAg2O
1.0
5.832 0.000 0.000
0.000 11.805 0.000
0.000 0.000 5.832
O Sr Na Ag
1 1 1 2
direct
0.500 0.500 0.500
0.000 0.000 0.000
0.000 0.500 0.000
0.000 0.000 0.500
0.500 0.000 0.000
```

- calculated volume (Å³/atom) = 80.312
- space-group type = P4/mmm (123)
- Fermi-level density of states (states/eV/f.u.) = 11.8

***

DFT (PBE-GGA) results for a relaxed NaTaAgO2 crystal.

Structure (POSCAR):
```
NaTaAgO2
1.0
-3.091 2.193 1.140
-0.842 -3.515 4.477
2.403 2.238 2.209
Ta O Na Ag
1 2 1 1
direct
0.000 0.000 0.000
0.000 0.000 0.500
0.500 0.000 0.000
0.500 0.500 0.500
0.000 0.500 0.000
```

- calculated volume (Å³/atom) = 18.029
- space-group type = P4/mmm (123)
- Fermi-level density of states (states/eV/f.u.) = 1.3

***

Number 1: final energy -5.00 eV/atom. Number 2: final energy -4.68 eV/atom. Number 3: final energy -3.49 eV/atom. Number 4: final energy -4.78 eV/atom. Number 5: final energy -2.64 eV/atom. Number 6: final energy -5.32 eV/atom. Number 7: final energy -5.31 eV/atom. Number 8: final energy -5.03 eV/atom. Number 9: final energy -4.88 eV/atom. Number 10: final energy -3.65 eV/atom. Number 11: final energy -4.83 eV/atom. Number 12: final energy -3.59 eV/atom. Number 13: final energy -5.46 eV/atom. Number 14: final energy -5.33 eV/atom. Number 15: final energy -4.93 eV/atom. Number 16: final energy -4.58 eV/atom. Number 17: final energy -3.56 eV/atom. Number 18: final energy -4.57 eV/atom. Number 19: final energy -5.01 eV/atom. Number 20: final energy -3.32 eV/atom. Number 21: final energy -1.85 eV/atom. Number 22: final energy -6.52 eV/atom.